1.
This record from the Alexandria database describes a relaxed structure of Er2MnCo. The functional is GGA-PBE.

Cell lengths 9.7025, 9.7025, 9.7025 Å; angles 20.02, 20.02, 20.02 degrees
Sites, in units of the cell vectors:
Er  0.1046  0.1046  0.1046
Er  0.8954  0.8954  0.8954
Mn  0.0000  0.0000  0.0000
Co  0.5000  0.5000  0.5000

Output
The calculation puts the total energy at -5.8503 eV per atom. As for the density of states at the Fermi level: 3.25 states/eV/cell.

2.
This record from the Alexandria database describes a relaxed structure of ErMnCo2. The functional is GGA-PBE.

Cell lengths 4.2777, 4.2777, 3.2122 Å; angles 90.00, 90.00, 90.00 degrees
Sites, in units of the cell vectors:
Er  0.0000  0.0000  0.0000
Mn  0.5000  0.5000  0.0000
Co  0.0000  0.5000  0.5000
Co  0.5000  0.0000  0.5000

Output
Its energy above the most stable polymorph in this dataset is 50 meV per atom. As for the density of states at the Fermi level: 3.59 states/eV/cell.

| no. | total magnetic moment (μB per cell) |
| --- | --- |
| 1 | 3.83 |
| 2 | 4.73 |